This record from Alexandria describes a relaxed AgIr2Rh crystal. The functional is PBE.

abc: 2.751 3.895 5.657
angles: 90.00 90.00 90.00
Sites, in units of the cell vectors:
Ag1 0.500 0.500 0.500
Ir1 0.000 0.000 0.766
Ir2 0.000 0.000 0.234
Rh1 0.500 0.500 0.000

Values from the calculation:
E_form = 321 meV/atom
symmetry = Pmmm
density of states at the Fermi level = 4.2 states/eV/cell